Entry 1:
Crystalline HgAs2Os at its relaxed geometry, computed with GGA-PBE.

a b c (Å): 4.5655 4.5655 6.6700
angles (deg): 106.63 106.63 39.36
Last column: nearest neighbours and their distance in Å.
Sites, in units of the cell vectors:
Hg (0.0000, 0.0000, 0.0000)  1 As 2.76, 2 Hg 3.07
As (0.6706, 0.6706, 0.6354)  3 Os 2.45-2.46
As (0.8117, 0.8117, 0.2694)  2 Os 2.47, 1 Hg 2.76
Os (0.3749, 0.3749, 0.5728)  5 As 2.45-2.47

## Properties
energy: -5.011 eV/atom
calculated volume: 21.00 A^3/atom
density: 10.7 g cm⁻³
E_form: 196 meV per atom
D(E_F): 0.189 states/eV/atom

Entry 2:
Crystalline Hg2AsOs at its relaxed geometry, computed with GGA-PBE.

a b c (Å): 2.8593 4.5869 5.8077
angles (deg): 90.00 90.00 90.00
Last column: nearest neighbours and their distance in Å.
Sites, in units of the cell vectors:
Hg (0.0000, 0.0000, 0.2419)  4 Hg 2.81-3.00, 4 Os 3.05, 4 As 3.09
Hg (0.0000, 0.0000, 0.7581)  4 Hg 2.81-3.00, 4 Os 3.05, 4 As 3.09
As (0.5000, 0.5000, 0.5000)  2 As 2.86, 2 Os 2.90, 8 Hg 3.09
Os (0.5000, 0.5000, 0.0000)  2 Os 2.86, 2 As 2.90, 8 Hg 3.05

## Properties
energy: -3.226 eV/atom
calculated volume: 19.04 A^3/atom
density: 14.5 g cm⁻³
E_form: 894 meV per atom
D(E_F): 0.670 states/eV/atom